Record 1
{
  "formula": "ScPRu3",
  "functional": "PBE",
  "state": "relaxed",
  "lattice_angstrom": [[4.5727, 0.0000, 0.0000], [0.0000, 4.5727, 0.0000], [0.0000, 0.0000, 4.5727]],
  "species": ["Sc", "P", "Ru", "Ru", "Ru"],
  "frac_coords": [[0.0000, 0.0000, 0.0000], [0.5000, 0.5000, 0.5000], [0.0000, 0.0000, 0.5000], [0.0000, 0.5000, 0.0000], [0.5000, 0.0000, 0.0000]],
  "de_polymorph_mev_per_atom": 2027,
  "crystal_system": "cubic",
  "total_magnetization_mub_per_atom": 0.00
}


Record 2
{
  "formula": "ScPRu",
  "functional": "PBE",
  "state": "relaxed",
  "lattice_angstrom": [[4.1469, 0.0000, 0.0000], [1.5827, 4.8095, 0.0000], [1.7936, -0.5346, 4.9327]],
  "species": ["Sc", "Sc", "P", "P", "Ru", "Ru"],
  "frac_coords": [[0.0000, 0.0000, 0.0000], [0.0626, 0.4678, 0.3986], [0.2886, 0.4286, 0.8432], [0.3895, 0.8881, 0.3655], [0.6768, 0.5811, 0.9611], [0.7257, 0.0473, 0.5854]],
  "e_tot_ev_per_atom": -7.91,
  "crystal_system": "triclinic",
  "total_magnetization_mub_per_atom": 0.00
}


Record 3
{
  "formula": "ScPRu",
  "functional": "PBE",
  "state": "relaxed",
  "lattice_angstrom": [[6.7051, -1.7667, 0.0000], [6.7051, 1.7667, 0.0000], [-0.7927, 0.0000, 4.2172]],
  "species": ["Sc", "Sc", "P", "P", "Ru", "Ru"],
  "frac_coords": [[0.0000, 0.0000, 0.0000], [0.7256, 0.7256, 0.1515], [0.3448, 0.3448, 0.9143], [0.5736, 0.5736, 0.5421], [0.1861, 0.1861, 0.6033], [0.3972, 0.3972, 0.4467]],
  "e_tot_ev_per_atom": -7.92,
  "crystal_system": "monoclinic",
  "total_magnetization_mub_per_atom": 0.00
}


Record 4
{
  "formula": "ScPRu",
  "functional": "PBE",
  "state": "relaxed",
  "lattice_angstrom": [[7.6145, 0.0000, 0.0000], [-3.8072, 6.5943, 0.0000], [0.0000, 0.0000, 3.1555]],
  "species": ["Sc", "Sc", "Sc", "P", "P", "P", "Ru", "Ru", "Ru"],
  "frac_coords": [[0.0000, 0.0000, 0.0000], [0.3333, 0.6667, 0.5000], [0.6667, 0.3333, 0.5000], [0.0000, 0.7071, 0.5000], [0.2929, 0.2929, 0.5000], [0.7071, 0.0000, 0.5000], [0.0000, 0.4811, 0.0000], [0.4811, 0.0000, 0.0000], [0.5189, 0.5189, 0.0000]],
  "e_tot_ev_per_atom": -7.35,
  "crystal_system": "hexagonal",
  "total_magnetization_mub_per_atom": 0.00
}


Record 5
{
  "formula": "Sc2P3Ru5",
  "functional": "PBE",
  "state": "relaxed",
  "lattice_angstrom": [[1.9957, -11.6701, 0.0000], [1.9957, 11.6701, 0.0000], [0.0000, 0.0000, 6.1817]],
  "species": ["Sc", "Sc", "Sc", "Sc", "P", "P", "P", "P", "P", "P", "Ru", "Ru", "Ru", "Ru", "Ru", "Ru", "Ru", "Ru", "Ru", "Ru"],
  "frac_coords": [[0.0207, 0.9793, 0.5000], [0.3274, 0.6726, 0.5222], [0.6726, 0.3274, 0.0222], [0.9793, 0.0207, 0.0000], [0.1084, 0.8916, 0.2404], [0.2720, 0.7280, 0.0305], [0.4569, 0.5431, 0.2855], [0.5431, 0.4569, 0.7855], [0.7280, 0.2720, 0.5305], [0.8916, 0.1084, 0.7404], [0.0961, 0.9039, 0.8559], [0.2063, 0.7937, 0.3157], [0.2075, 0.7925, 0.7441], [0.3699, 0.6301, 0.0374], [0.4439, 0.5561, 0.6608], [0.5561, 0.4439, 0.1608], [0.6301, 0.3699, 0.5374], [0.7925, 0.2075, 0.2441], [0.7937, 0.2063, 0.8157], [0.9039, 0.0961, 0.3559]],
  "e_tot_ev_per_atom": -8.34,
  "crystal_system": "orthorhombic",
  "total_magnetization_mub_per_atom": 0.00
}


Record 6
{
  "formula": "ScPRu",
  "functional": "PBE",
  "state": "relaxed",
  "lattice_angstrom": [[4.2610, 0.0000, 0.0000], [0.0000, 3.4890, 0.0000], [-0.8642, 0.0000, 6.5750]],
  "species": ["Sc", "Sc", "P", "P", "Ru", "Ru"],
  "frac_coords": [[0.0000, 0.0000, 0.0000], [0.4272, 0.0000, 0.5670], [0.0487, 0.5000, 0.3375], [0.4579, 0.5000, 0.8764], [0.5325, 0.5000, 0.2348], [0.9120, 0.5000, 0.6586]],
  "e_tot_ev_per_atom": -7.92,
  "crystal_system": "monoclinic",
  "total_magnetization_mub_per_atom": 0.00
}


Record 7
{
  "formula": "ScPRu",
  "functional": "PBE",
  "state": "relaxed",
  "lattice_angstrom": [[6.5693, 0.0000, 0.0000], [-3.2846, 5.6891, 0.0000], [0.0000, 0.0000, 3.6251]],
  "species": ["Sc", "Sc", "Sc", "P", "P", "P", "Ru", "Ru", "Ru"],
  "frac_coords": [[0.0000, 0.5882, 0.0000], [0.4118, 0.4118, 0.0000], [0.5882, 0.0000, 0.0000], [0.0000, 0.0000, 0.0000], [0.3333, 0.6667, 0.5000], [0.6667, 0.3333, 0.5000], [0.0000, 0.2436, 0.5000], [0.2436, 0.0000, 0.5000], [0.7564, 0.7564, 0.5000]],
  "e_tot_ev_per_atom": -8.20,
  "crystal_system": "hexagonal",
  "total_magnetization_mub_per_atom": 0.00
}


Record 8
{
  "formula": "ScPRu",
  "functional": "PBE",
  "state": "relaxed",
  "lattice_angstrom": [[0.0000, 3.0090, 3.0090], [3.0090, 0.0000, 3.0090], [3.0090, 3.0090, 0.0000]],
  "species": ["Sc", "P", "Ru"],
  "frac_coords": [[0.0000, 0.0000, 0.0000], [0.2500, 0.2500, 0.2500], [0.7500, 0.7500, 0.7500]],
  "e_tot_ev_per_atom": -6.99,
  "crystal_system": "cubic",
  "total_magnetization_mub_per_atom": 0.00
}


Record 9
{
  "formula": "Sc2P2Ru",
  "functional": "PBE",
  "state": "relaxed",
  "lattice_angstrom": [[6.2013, 0.0000, 0.0000], [0.0000, 6.2013, 0.0000], [0.0000, 0.0000, 4.0459]],
  "species": ["Sc", "Sc", "Sc", "Sc", "P", "P", "P", "P", "Ru", "Ru"],
  "frac_coords": [[0.1739, 0.3261, 0.0000], [0.3261, 0.8261, 0.0000], [0.6739, 0.1739, 0.0000], [0.8261, 0.6739, 0.0000], [0.1354, 0.6354, 0.5000], [0.3646, 0.1354, 0.5000], [0.6354, 0.8646, 0.5000], [0.8646, 0.3646, 0.5000], [0.0000, 0.0000, 0.5000], [0.5000, 0.5000, 0.5000]],
  "e_tot_ev_per_atom": -7.69,
  "crystal_system": "tetragonal",
  "total_magnetization_mub_per_atom": 0.00
}


Record 10
{
  "formula": "ScP4Ru4",
  "functional": "PBE",
  "state": "relaxed",
  "lattice_angstrom": [[6.0022, 0.0000, 0.0000], [0.0000, 6.0022, 0.0000], [0.0000, 0.0000, 7.4724]],
  "species": ["Sc", "Sc", "P", "P", "P", "P", "P", "P", "P", "P", "Ru", "Ru", "Ru", "Ru", "Ru", "Ru", "Ru", "Ru"],
  "frac_coords": [[0.2500, 0.7500, 0.2500], [0.7500, 0.2500, 0.7500], [0.0286, 0.2500, 0.0584], [0.2500, 0.0286, 0.5584], [0.2500, 0.4714, 0.5584], [0.4714, 0.2500, 0.0584], [0.5286, 0.7500, 0.9416], [0.7500, 0.5286, 0.4416], [0.7500, 0.9714, 0.4416], [0.9714, 0.7500, 0.9416], [0.0225, 0.2500, 0.3685], [0.2500, 0.0225, 0.8685], [0.2500, 0.4775, 0.8685], [0.4775, 0.2500, 0.3685], [0.5225, 0.7500, 0.6315], [0.7500, 0.5225, 0.1315], [0.7500, 0.9775, 0.1315], [0.9775, 0.7500, 0.6315]],
  "e_tot_ev_per_atom": -7.76,
  "crystal_system": "tetragonal",
  "total_magnetization_mub_per_atom": 0.00
}


Record 11
{
  "formula": "ScP2Ru",
  "functional": "PBE",
  "state": "relaxed",
  "lattice_angstrom": [[3.4643, 0.0000, 0.0000], [0.0000, 3.4643, 0.0000], [0.0000, 0.0000, 5.2774]],
  "species": ["Sc", "P", "P", "Ru"],
  "frac_coords": [[0.0000, 0.0000, 0.0000], [0.0000, 0.0000, 0.4993], [0.5000, 0.5000, 0.1236], [0.5000, 0.5000, 0.6256]],
  "de_polymorph_mev_per_atom": 244,
  "crystal_system": "tetragonal",
  "total_magnetization_mub_per_atom": 0.17
}


Record 12
{
  "formula": "ScP2Ru",
  "functional": "PBE",
  "state": "relaxed",
  "lattice_angstrom": [[0.0000, 3.0881, 3.0881], [3.0881, 0.0000, 3.0881], [3.0881, 3.0881, 0.0000]],
  "species": ["Sc", "P", "P", "Ru"],
  "frac_coords": [[0.0000, 0.0000, 0.0000], [0.2500, 0.2500, 0.2500], [0.7500, 0.7500, 0.7500], [0.5000, 0.5000, 0.5000]],
  "de_polymorph_mev_per_atom": 289,
  "crystal_system": "cubic",
  "total_magnetization_mub_per_atom": 0.25
}


Record 13
{
  "formula": "ScPRu",
  "functional": "PBE",
  "state": "relaxed",
  "lattice_angstrom": [[6.0995, -1.5872, 0.0000], [6.0995, 1.5872, 0.0000], [-1.5979, 0.0000, 5.0707]],
  "species": ["Sc", "Sc", "P", "P", "Ru", "Ru"],
  "frac_coords": [[0.0000, 0.0000, 0.0000], [0.2330, 0.2330, 0.5675], [0.6692, 0.6692, 0.9333], [0.8872, 0.8872, 0.4600], [0.3167, 0.3167, 0.1069], [0.5320, 0.5320, 0.5129]],
  "e_tot_ev_per_atom": -7.86,
  "crystal_system": "monoclinic",
  "total_magnetization_mub_per_atom": 0.00
}


| no. | ρ (g/cm3) | volume (Å³ per atom) |
| --- | --- | --- |
| 1 | 6.6 | 19.12 |
| 2 | 6.0 | 16.40 |
| 3 | 5.9 | 16.65 |
| 4 | 5.6 | 17.60 |
| 5 | 7.9 | 14.40 |
| 6 | 6.0 | 16.29 |
| 7 | 6.5 | 15.05 |
| 8 | 5.4 | 18.16 |
| 9 | 5.4 | 15.56 |
| 10 | 7.1 | 14.96 |
| 11 | 5.5 | 15.83 |
| 12 | 5.9 | 14.72 |
| 13 | 6.0 | 16.36 |